1.
First-principles (PBE) data for a relaxed K3YBi2Te6 crystal, as listed in Alexandria.

It has space group C2/m (No. 12), with a = 7.916 Å, b = 13.713 Å, c = 8.676 Å, α = 90.00°, β = 107.70° and γ = 90.00°. Symmetry generates all atoms from K at (0.000, 0.000, 0.000), K at (0.000, 0.330, 0.000), Y at (0.000, 0.500, 0.500), Bi at (0.000, 0.166, 0.500), Te at (0.234, 0.336, 0.710) and Te at (0.242, 0.000, 0.711).

Its volume is 897.3 Å³ per cell. The density of states at the Fermi level comes out at 0.00 states/eV/cell. As for the raw formation energy: -0.885 eV per atom.

=====

2.
First-principles (PBE) data for a relaxed KZrBi2Te crystal, as listed in Alexandria.

It has space group P4/mmm (No. 123), with a = 6.168 Å, b = 6.168 Å, c = 5.370 Å, α = 90.00°, β = 90.00° and γ = 90.00°. Symmetry generates all atoms from K at (0.000, 0.000, 0.000), Zr at (0.500, 0.500, 0.000), Bi at (0.000, 0.500, 0.500) and Te at (0.500, 0.500, 0.500).

Its volume is 204.3 Å³ per cell. The density of states at the Fermi level comes out at 5.19 states/eV/cell. As for the raw formation energy: 0.385 eV per atom.

=====

3.
First-principles (PBE) data for a relaxed KThBi2 crystal, as listed in Alexandria.

It has space group P4/mmm (No. 123), with a = 4.206 Å, b = 4.206 Å, c = 8.135 Å, α = 90.00°, β = 90.00° and γ = 90.00°. Symmetry generates all atoms from K at (0.000, 0.000, 0.000), Th at (0.000, 0.000, 0.500) and Bi at (0.500, 0.500, 0.295).

Its volume is 143.9 Å³ per cell. The density of states at the Fermi level comes out at 3.54 states/eV/cell. Its formation energy is -0.41 eV/atom. The energy above the most stable polymorph in this dataset is 0 meV per atom.

=====

4.
First-principles (PBE) data for a relaxed KThBi2 crystal, as listed in Alexandria.

It has space group R3m (No. 160, hexagonal axes), with a = 4.6439 Å, b = 4.6439 Å, c = 26.1893 Å, α = 90.00°, β = 90.00° and γ = 120.00°. Symmetry generates all atoms from K at (0.0000, 0.0000, 0.0000), Th at (0.0000, 0.0000, 0.1700), Bi at (0.0000, 0.0000, 0.5731) and Bi at (0.0000, 0.0000, 0.7654).

Its volume is 489.1 Å³ per cell. The density of states at the Fermi level comes out at 13.27 states/eV/cell. Its formation energy is -0.37 eV/atom. The energy above the most stable polymorph in this dataset is 37 meV per atom.

=====

Which formula does entry 1 have?
K3YBi2Te6

=====

The highest volume belongs to which entry?
K3YBi2Te6

=====

Which value of volume does entry 3 give?
143.9 Å³ per cell

=====

volume of number 3 (KThBi2)?
143.9 Å³ per cell